[1]
VASP calculation (PBE-GGA) on a relaxed MgW2 crystal.

a = 6.312 Å, b = 6.312 Å, c = 5.063 Å
α = 90.00°, β = 90.00°, γ = 90.00°
Fractional positions:
1 Mg 0.000 0.000 0.250
2 Mg 0.000 0.000 0.750
3 Mg 0.500 0.500 0.250
4 Mg 0.500 0.500 0.750
5 W 0.140 0.360 0.000
6 W 0.140 0.640 0.500
7 W 0.360 0.140 0.500
8 W 0.360 0.860 0.000
9 W 0.640 0.140 0.000
10 W 0.640 0.860 0.500
11 W 0.860 0.360 0.500
12 W 0.860 0.640 0.000

---

[2]
VASP calculation (PBE-GGA) on a relaxed MgW2 crystal.

a = 2.688 Å, b = 4.511 Å, c = 8.244 Å
α = 90.00°, β = 90.00°, γ = 90.00°
Fractional positions:
1 Mg 0.000 0.000 0.000
2 Mg 0.500 0.500 0.500
3 W 0.000 0.000 0.335
4 W 0.000 0.000 0.665
5 W 0.500 0.500 0.165
6 W 0.500 0.500 0.835

---

[3]
VASP calculation (PBE-GGA) on a relaxed MgW crystal.

a = 9.413 Å, b = 2.735 Å, c = 5.414 Å
α = 90.00°, β = 93.53°, γ = 90.00°
Fractional positions:
1 Mg 0.123 0.000 0.378
2 Mg 0.377 0.500 0.622
3 Mg 0.623 0.500 0.378
4 Mg 0.877 0.000 0.622
5 W 0.124 0.500 0.896
6 W 0.376 0.000 0.104
7 W 0.624 0.000 0.896
8 W 0.876 0.500 0.104

---

[4]
VASP calculation (PBE-GGA) on a relaxed Mg2W crystal.

a = 5.219 Å, b = 5.219 Å, c = 8.826 Å
α = 90.00°, β = 90.00°, γ = 120.00°
Fractional positions:
1 Mg 0.000 0.000 0.000
2 Mg 0.000 0.000 0.500
3 Mg 0.172 0.344 0.250
4 Mg 0.172 0.828 0.250
5 Mg 0.344 0.172 0.750
6 Mg 0.656 0.828 0.250
7 Mg 0.828 0.172 0.750
8 Mg 0.828 0.656 0.750
9 W 0.333 0.667 0.547
10 W 0.333 0.667 0.953
11 W 0.667 0.333 0.047
12 W 0.667 0.333 0.453

---

[5]
VASP calculation (PBE-GGA) on a relaxed MgW3 crystal.

a = 3.316 Å, b = 3.316 Å, c = 6.119 Å
α = 90.00°, β = 90.00°, γ = 90.00°
Fractional positions:
1 Mg 0.000 0.000 0.000
2 W 0.000 0.000 0.500
3 W 0.500 0.500 0.271
4 W 0.500 0.500 0.729

---

[6]
VASP calculation (PBE-GGA) on a relaxed Mg2W crystal.

a = 2.928 Å, b = 2.928 Å, c = 7.444 Å
α = 90.00°, β = 90.00°, γ = 120.00°
Fractional positions:
1 Mg 0.333 0.667 0.320
2 Mg 0.667 0.333 0.680
3 W 0.000 0.000 0.000

---

Calculated volume / Å³/atom: 16.81 16.66 17.38 17.35 16.82 18.43
Formation energy / eV/atom: 0.97 0.41 0.42 0.73 0.48 0.39